Record 1
The following is a DFT calculation (GGA-PBE) of a relaxed Y2SiHg crystal.

a b c (Å): 5.0558 3.7323 5.0555
angles (deg): 90.00 90.00 90.00
Sites, in units of the cell vectors:
Y1 0.0000 0.1248 0.8749
Si1 0.5000 0.6250 0.8750
Hg1 0.0000 0.6252 0.3750
Y2 0.5000 0.1250 0.3750

## Properties
Formation energy without anion corrections   -0.500 eV/atom


Record 2
The following is a DFT calculation (GGA-PBE) of a relaxed PmDy5Tl6 crystal.

a b c (Å): 5.3847 9.3430 9.3430
angles (deg): 120.15 106.82 106.82
Sites, in units of the cell vectors:
Tl1 0.7471 0.5782 0.9156
Tl2 0.2436 0.7436 0.7436
Tl3 0.2529 0.0844 0.4218
Dy1 0.0000 0.3328 0.6672
Dy2 0.5000 0.8355 0.1645
Tl4 0.7471 0.9156 0.5782
Dy3 0.5000 0.1645 0.8355
Pm1 0.0000 0.0000 0.0000
Dy4 0.5000 0.5000 0.5000
Tl5 0.7564 0.2564 0.2564
Dy5 0.0000 0.6672 0.3328
Tl6 0.2529 0.4218 0.0844

## Properties
Calculated formation energy   -34 kJ/mol of atoms
Energy above the most stable polymorph in this dataset   0 meV per atom


Record 3
The following is a DFT calculation (GGA-PBE) of a relaxed MnAl4Rh3 crystal.

a b c (Å): 2.9584 4.2401 8.4877
angles (deg): 90.00 90.00 90.00
Sites, in units of the cell vectors:
Al1 0.0000 0.5000 0.2451
Mn1 0.5000 0.5000 0.0000
Rh1 0.5000 0.5000 0.5000
Al2 0.0000 0.5000 0.7549
Rh2 0.5000 0.0000 0.2505
Al3 0.0000 0.0000 0.0000
Rh3 0.5000 0.0000 0.7495
Al4 0.0000 0.0000 0.5000

## Properties
Calculated formation energy   -85 kJ/mol of atoms


Record 4
The following is a DFT calculation (GGA-PBE) of a relaxed PmPr6Dy12 crystal.

a b c (Å): 8.7965 8.7965 8.7965
angles (deg): 98.72 98.72 98.72
Sites, in units of the cell vectors:
Dy1 0.5000 0.2438 0.7562
Dy2 0.2438 0.7562 0.5000
Dy3 0.2438 0.5000 0.7562
Dy4 0.3559 0.3559 0.0811
Dy5 0.0811 0.3559 0.3559
Dy6 0.9189 0.6441 0.6441
Pr1 0.9019 0.3445 0.9019
Pr2 0.0981 0.0981 0.6555
Pm1 0.0000 0.0000 0.0000
Dy7 0.5000 0.7562 0.2438
Dy8 0.7562 0.2438 0.5000
Dy9 0.6441 0.9189 0.6441
Pr3 0.6555 0.0981 0.0981
Dy10 0.6441 0.6441 0.9189
Pr4 0.3445 0.9019 0.9019
Dy11 0.7562 0.5000 0.2438
Pr5 0.0981 0.6555 0.0981
Pr6 0.9019 0.9019 0.3445
Dy12 0.3559 0.0811 0.3559

## Properties
Calculated formation energy   21 kJ/mol of atoms
Energy above the most stable polymorph in this dataset   0 meV per atom